Rb2YCd3F12 GGA-PBE optimized geometry; density = 3.6 g/cm³; size of the total moment = 0.000 μB/f.u.; DOS(E_F) = 10.81 states/eV per cell; E_form (uncorrected) = -2.60 eV/atom; SG = R-3m (166)
1.0
8.225 0.175 0.124
4.214 7.066 0.124
4.214 2.453 6.628
Rb Y Cd F
2 1 3 12
direct
0.601 0.601 0.601
0.399 0.399 0.399
0.000 0.000 0.000
0.500 0.000 0.000
0.000 0.500 0.000
0.000 0.000 0.500
0.330 0.330 0.908
0.927 0.927 0.323
0.323 0.927 0.927
0.908 0.330 0.330
0.927 0.323 0.927
0.330 0.908 0.330
0.670 0.670 0.092
0.073 0.073 0.677
0.677 0.073 0.073
0.092 0.670 0.670
0.073 0.677 0.073
0.670 0.092 0.670